Here is crystalline K3YI at its relaxed geometry from Alexandria. Energies are from PBE-GGA.

```
data_K3YI
_space_group_name_H-M_alt 'P m -3 m'
_space_group_IT_number 221
_space_group_name_Hall '-P 4 2 3'
_cell_length_a 6.6959
_cell_length_b 6.6959
_cell_length_c 6.6959
_cell_angle_alpha 90.00
_cell_angle_beta 90.00
_cell_angle_gamma 90.00
loop_
_atom_site_label
_atom_site_fract_x
_atom_site_fract_y
_atom_site_fract_z
K1 0.0000 0.0000 0.5000
Y1 0.5000 0.5000 0.5000
I1 0.0000 0.0000 0.0000
```

Values from the calculation:
Raw total energy, eV/cell: -11.06

---

Here is crystalline K2YI6 at its relaxed geometry from Alexandria. Energies are from PBE-GGA.

```
data_K2YI6
_space_group_name_H-M_alt 'A m m 2'
_space_group_IT_number 38
_cell_length_a 4.1467
_cell_length_b 18.8532
_cell_length_c 9.4081
_cell_angle_alpha 90.00
_cell_angle_beta 90.00
_cell_angle_gamma 90.00
loop_
_space_group_symop_operation_xyz
'x,y,z'
'-x,-y,z'
'-x,y,z'
'x,-y,z'
'x,y+1/2,z+1/2'
'-x,-y+1/2,z+1/2'
'-x,y+1/2,z+1/2'
'x,-y+1/2,z+1/2'
loop_
_atom_site_label
_atom_site_fract_x
_atom_site_fract_y
_atom_site_fract_z
K1 0.0000 0.1592 0.0000
Y1 0.5000 0.0000 0.4657
I1 0.0000 0.0000 0.7196
I2 0.0000 0.1147 0.3868
I3 0.5000 0.0000 0.1129
I4 0.5000 0.2176 0.7090
```

Values from the calculation:
Raw total energy, eV/cell: -56.53

---

Here is crystalline KYI3 at its relaxed geometry from Alexandria. Energies are from PBE-GGA.

```
data_KYI3
_space_group_name_H-M_alt 'P m -3 m'
_space_group_IT_number 221
_space_group_name_Hall '-P 4 2 3'
_cell_length_a 6.0640
_cell_length_b 6.0640
_cell_length_c 6.0640
_cell_angle_alpha 90.00
_cell_angle_beta 90.00
_cell_angle_gamma 90.00
loop_
_atom_site_label
_atom_site_fract_x
_atom_site_fract_y
_atom_site_fract_z
K1 0.0000 0.0000 0.0000
Y1 0.5000 0.5000 0.5000
I1 0.0000 0.5000 0.5000
```

Values from the calculation:
Energy relative to the lowest polymorph listed for this composition, meV per atom: 0

---

Here is crystalline KYI4 at its relaxed geometry from Alexandria. Energies are from PBE-GGA.

```
data_KYI4
_space_group_name_H-M_alt 'C 1 2/m 1'
_space_group_IT_number 12
_cell_length_a 15.2352
_cell_length_b 4.5423
_cell_length_c 8.8344
_cell_angle_alpha 90.00
_cell_angle_beta 102.48
_cell_angle_gamma 90.00
loop_
_space_group_symop_operation_xyz
'x,y,z'
'-x,-y,-z'
'-x,y,-z'
'x,-y,z'
'x+1/2,y+1/2,z'
'-x+1/2,-y+1/2,-z'
'-x+1/2,y+1/2,-z'
'x+1/2,-y+1/2,z'
loop_
_atom_site_label
_atom_site_fract_x
_atom_site_fract_y
_atom_site_fract_z
K1 0.0000 0.0000 0.0000
Y1 0.0000 0.5000 0.5000
I1 0.1170 0.0000 0.4067
I2 0.1188 0.5000 0.8180
```

Values from the calculation:
Energy relative to the lowest polymorph listed for this composition, meV per atom: 0

---

Here is crystalline KY2I at its relaxed geometry from Alexandria. Energies are from PBE-GGA.

```
data_KY2I
_space_group_name_H-M_alt 'F m -3 m'
_space_group_IT_number 225
_space_group_name_Hall '-F 4 2 3'
_cell_length_a 8.0964
_cell_length_b 8.0964
_cell_length_c 8.0964
_cell_angle_alpha 90.00
_cell_angle_beta 90.00
_cell_angle_gamma 90.00
loop_
_atom_site_label
_atom_site_fract_x
_atom_site_fract_y
_atom_site_fract_z
K1 0.0000 0.0000 0.0000
Y1 0.2500 0.2500 0.2500
I1 0.0000 0.0000 0.5000
```

Values from the calculation:
Energy relative to the lowest polymorph listed for this composition, meV per atom: 183

---

Here is crystalline KY3I at its relaxed geometry from Alexandria. Energies are from PBE-GGA.

```
data_KY3I
_space_group_name_H-M_alt 'P m -3 m'
_space_group_IT_number 221
_space_group_name_Hall '-P 4 2 3'
_cell_length_a 5.7058
_cell_length_b 5.7058
_cell_length_c 5.7058
_cell_angle_alpha 90.00
_cell_angle_beta 90.00
_cell_angle_gamma 90.00
loop_
_atom_site_label
_atom_site_fract_x
_atom_site_fract_y
_atom_site_fract_z
K1 0.0000 0.0000 0.0000
Y1 0.0000 0.0000 0.5000
I1 0.5000 0.5000 0.5000
```

Values from the calculation:
Energy relative to the lowest polymorph listed for this composition, meV per atom: 835

---

Here is crystalline K2YI5 at its relaxed geometry from Alexandria. Energies are from PBE-GGA.

```
data_K2YI5
_space_group_name_H-M_alt 'P n m a'
_space_group_IT_number 62
_cell_length_a 14.4945
_cell_length_b 9.7621
_cell_length_c 9.3052
_cell_angle_alpha 90.00
_cell_angle_beta 90.00
_cell_angle_gamma 90.00
loop_
_space_group_symop_operation_xyz
'x,y,z'
'-x,-y,-z'
'-x+1/2,-y,z+1/2'
'x+1/2,y,-z+1/2'
'x+1/2,-y+1/2,-z+1/2'
'-x+1/2,y+1/2,z+1/2'
'-x,y+1/2,-z'
'x,-y+1/2,z'
loop_
_atom_site_label
_atom_site_fract_x
_atom_site_fract_y
_atom_site_fract_z
K1 0.1705 0.0072 0.0785
Y1 0.0058 0.2500 0.5781
I1 0.0103 0.2500 0.9206
I2 0.0650 0.5473 0.6702
I3 0.1861 0.2500 0.3981
I4 0.2016 0.7500 0.3544
```

Values from the calculation:
Energy relative to the lowest polymorph listed for this composition, meV per atom: 0

---

Here is crystalline KY2I at its relaxed geometry from Alexandria. Energies are from PBE-GGA.

```
data_KY2I
_space_group_name_H-M_alt 'I -4 2 d'
_space_group_IT_number 122
_space_group_name_Hall 'I -4 2bw'
_cell_length_a 9.7118
_cell_length_b 9.7118
_cell_length_c 6.8048
_cell_angle_alpha 90.00
_cell_angle_beta 90.00
_cell_angle_gamma 90.00
loop_
_atom_site_label
_atom_site_fract_x
_atom_site_fract_y
_atom_site_fract_z
K1 0.0000 0.0000 0.0000
Y1 0.1728 0.2500 0.6250
I1 0.0000 0.0000 0.5000
```

Values from the calculation:
Energy relative to the lowest polymorph listed for this composition, meV per atom: 0